## YScCr2O6 (PBE with a Hubbard U)

Data for crystalline YScCr2O6 at its relaxed geometry.

Computed properties:
The value obtained for the theoretical density is 4.83 Mg/m³. The calculation puts the raw total energy at -8.476 eV per atom.

Unit cell a=5.3584 b=5.3584 c=13.8468 alpha=90.00 beta=90.00 gamma=120.00
Space group R3 (No. 146, hexagonal axes)
One atom of each set of equivalent atoms:
Y1 0.0000 0.0000 0.0000
Sc1 0.0000 0.0000 0.5121
Cr1 0.0000 0.0000 0.2197
Cr2 0.0000 0.0000 0.7229
O1 0.0459 0.3491 0.7952
O2 0.0754 0.7192 0.2917